No. 1
AlNi2O4 after structural relaxation. Source: Alexandria via LeMat-Bulk, functional PBEsol.

POSCAR file:
```
AlNi2O4
1.0
5.7239 0.0000 0.0000
-2.8619 4.9064 -0.0120
0.0000 -3.2799 4.6410
Al O Ni
2 8 4
direct
0.5000 0.0000 0.5000
0.5000 0.0000 0.0000
0.7302 0.0178 0.7589
0.2623 0.5247 0.7816
0.2876 0.0178 0.7589
0.2623 0.5247 0.2431
0.2698 0.9822 0.2411
0.7124 0.9822 0.2411
0.7377 0.4753 0.2184
0.7377 0.4753 0.7569
0.5000 0.5000 0.0000
0.8737 0.7473 0.6237
0.1263 0.2527 0.3763
0.0000 0.5000 0.0000
```

symmetry	Imma
raw total energy	-6.90	eV/atom
DOS(E_F)	3.74	states/eV/f.u.
energy above the most stable polymorph in this dataset	0.00	eV per formula unit

***

No. 2
Y2Ag2Bi after structural relaxation. Source: Alexandria via LeMat-Bulk, functional PBEsol.

POSCAR file:
```
Y2Ag2Bi
1.0
-1.8815 -4.5126 0.9074
4.5885 -1.7613 0.7552
-1.7484 4.3553 4.4093
Ag Y Bi
2 2 1
direct
0.6170 0.6170 0.2340
0.3830 0.3830 0.7660
0.7500 0.2500 0.5000
0.2500 0.7500 0.5000
0.0000 0.0000 0.0000
```

symmetry	I4/mmm
raw total energy	-5.02	eV/atom
DOS(E_F)	2.89	states/eV/f.u.

***

No. 3
LiMg2Zn after structural relaxation. Source: Alexandria via LeMat-Bulk, functional PBEsol.

POSCAR file:
```
LiMg2Zn
1.0
-1.1611 1.0110 2.5825
0.8852 -4.8616 0.5511
4.7374 1.8000 1.4252
Li Zn Mg
1 1 2
direct
0.0000 0.0000 0.5000
0.5000 0.0000 0.0000
0.2406 0.4811 0.2420
0.7594 0.5189 0.7580
```

symmetry	C2/m
raw total energy	-1.78	eV/atom
DOS(E_F)	1.56	states/eV/f.u.

***

No. 4
CaNb2PPb after structural relaxation. Source: Alexandria via LeMat-Bulk, functional PBEsol.

POSCAR file:
```
CaNb2PPb
1.0
-4.4876 -1.2634 -0.2639
1.2592 -4.0760 -1.8986
0.3367 -2.2532 5.0606
Pb Ca Nb P
1 1 2 1
direct
0.0000 0.0000 0.5000
0.5000 0.5000 0.5000
0.5000 0.0000 0.0000
0.0000 0.5000 0.0000
0.0000 0.0000 0.0000
```

symmetry	P4/mmm
raw total energy	-6.45	eV/atom
DOS(E_F)	4.61	states/eV/f.u.

***

No. 5
Be2CuSi after structural relaxation. Source: Alexandria via LeMat-Bulk, functional PBEsol.

POSCAR file:
```
Be2CuSi
1.0
-2.9994 -1.4025 0.9635
1.7004 -2.3984 1.8022
0.5857 3.9736 1.4364
Be Si Cu
2 1 1
direct
0.7500 0.2500 0.5000
0.0000 0.0000 0.0000
0.2500 0.7500 0.5000
0.5000 0.5000 0.0000
```

symmetry	I-4m2
raw total energy	-4.42	eV/atom
DOS(E_F)	1.24	states/eV/f.u.

***

No. 6
Sr2TcPt after structural relaxation. Source: Alexandria via LeMat-Bulk, functional PBEsol.

POSCAR file:
```
Sr2TcPt
1.0
4.6302 0.0000 0.0000
-2.3151 4.8638 -0.0963
0.0000 2.2836 4.0278
Pt Tc Sr
1 1 2
direct
0.0000 0.0000 0.0000
0.5000 0.0000 0.5000
0.7500 0.5000 0.7500
0.2500 0.5000 0.2500
```

symmetry	I4/mmm
raw total energy	-4.96	eV/atom
DOS(E_F)	5.45	states/eV/f.u.
energy above the most stable polymorph in this dataset	2.02	eV per formula unit

***

No. 7
YMg2Cu after structural relaxation. Source: Alexandria via LeMat-Bulk, functional PBEsol.

POSCAR file:
```
YMg2Cu
1.0
-0.9171 0.9314 4.4297
0.9540 -4.3784 1.1181
7.5956 3.6800 -1.6090
Cu Mg Y
2 4 2
direct
0.7500 0.2500 0.5000
0.2500 0.7500 0.5000
0.5000 0.0000 0.0000
0.3519 0.3519 0.7038
0.0000 0.5000 0.0000
0.6481 0.6481 0.2962
0.8511 0.8511 0.7023
0.1489 0.1489 0.2977
```

symmetry	I4/mmm
raw total energy	-3.79	eV/atom
DOS(E_F)	3.10	states/eV/f.u.

***

No. 8
ZnHAu2 after structural relaxation. Source: Alexandria via LeMat-Bulk, functional PBEsol.

POSCAR file:
```
ZnHAu2
1.0
-0.7443 4.0077 -1.2314
-2.1080 0.7579 -3.6213
-3.9575 1.5665 0.1280
H Au Zn
1 2 1
direct
0.0000 0.0000 0.0000
0.2500 0.2500 0.2500
0.7500 0.7500 0.7500
0.5000 0.5000 0.5000
```

symmetry	Fm-3m
raw total energy	-2.79	eV/atom
DOS(E_F)	1.35	states/eV/f.u.

***

No. 9
Rb2TlSbI6 after structural relaxation. Source: Alexandria via LeMat-Bulk, functional PBEsol.

POSCAR file:
```
Rb2TlSbI6
1.0
-3.9270 6.5508 -4.2000
-8.1020 -1.0138 -3.0504
-6.6317 4.2306 3.7546
I Sb Rb Tl
6 1 2 1
direct
0.2417 0.7583 0.2417
0.2417 0.7583 0.7583
0.7583 0.2417 0.2417
0.2417 0.2417 0.7583
0.7583 0.7583 0.2417
0.7583 0.2417 0.7583
0.0000 0.0000 0.0000
0.7500 0.7500 0.7500
0.2500 0.2500 0.2500
0.5000 0.5000 0.5000
```

symmetry	Fm-3m
raw total energy	-2.79	eV/atom

***

No. 10
MgTa2Mn after structural relaxation. Source: Alexandria via LeMat-Bulk, functional PBEsol.

POSCAR file:
```
MgTa2Mn
1.0
3.3925 0.0000 0.0000
0.0000 4.4483 0.0000
0.0000 0.0000 4.3333
Ta Mg Mn
2 1 1
direct
0.0000 0.0000 0.0000
0.5000 0.0000 0.5000
0.5000 0.5000 0.0000
0.0000 0.5000 0.5000
```

symmetry	Pmmm
raw total energy	-8.79	eV/atom
DOS(E_F)	3.35	states/eV/f.u.

***

No. 11
ReMo5 after structural relaxation. Source: Alexandria via LeMat-Bulk, functional PBEsol.

POSCAR file:
```
ReMo5
1.0
3.1146 0.0000 0.0000
-1.5573 4.9390 -0.0007
0.0000 -1.9701 5.9132
Mo Re
5 1
direct
0.8348 0.6696 0.1666
0.8316 0.6631 0.6666
0.5000 0.0000 0.0000
0.1652 0.3304 0.8334
0.1684 0.3369 0.3334
0.5000 0.0000 0.5000
```

symmetry	C2/m
raw total energy	-12.00	eV/atom
DOS(E_F)	4.35	states/eV/f.u.
energy above the most stable polymorph in this dataset	0.03	eV per formula unit

***

No. 12
FeHgRu2 after structural relaxation. Source: Alexandria via LeMat-Bulk, functional PBEsol.

POSCAR file:
```
FeHgRu2
1.0
2.8861 0.0000 0.0000
0.0000 2.8862 0.0000
0.0000 0.0000 6.9217
Fe Ru Hg
1 2 1
direct
0.5000 0.5000 0.0000
0.0000 0.0000 0.7967
0.0000 0.0000 0.2033
0.5000 0.5000 0.5000
```

symmetry	P4/mmm
raw total energy	-7.10	eV/atom
DOS(E_F)	3.88	states/eV/f.u.